A plane-wave DFT calculation with PBE was carried out for ZrTeOsPd2 after structural relaxation.

The structure belongs to space group P4/mmm (No. 123); the cell edges are 4.8368, 4.8368 and 5.3466 Å and the angles 90.00°, 90.00° and 90.00°. The asymmetric unit holds Zr at (0.0000, 0.0000, 0.0000), Te at (0.0000, 0.0000, 0.5000), Os at (0.5000, 0.5000, 0.5000) and Pd at (0.0000, 0.5000, 0.0000).

The density of states at the Fermi level comes out at 3.7 states/eV per cell. Its energy is -26.0 eV per cell. Its raw formation energy is 1.461 eV per atom. The value obtained for the size of the total moment is 2.11 μB per cell. The crystal system is tetragonal.